Entry 1:
A plane-wave DFT calculation with PBE was carried out for a relaxed Ni3Hg2S4 crystal.

Summary:
The total energy is -4.031 eV per atom. The calculation puts the mass density at 4.9 g cm⁻³. For the formation energy from raw total energies, the calculation gives -0.20 eV/atom. Its density of states at the Fermi level is 0.853 states/eV per atom. As for the space-group type: Fmmm (69).

Geometry as POSCAR:
```
Ni3Hg2S4
1.0
0.000 4.717 8.994
2.846 0.000 8.994
2.846 4.717 0.000
Ni Hg S
3 2 4
direct
0.000 0.000 0.000
0.000 0.000 0.500
0.500 0.500 0.000
0.249 0.249 0.751
0.751 0.751 0.249
0.089 0.746 0.254
0.254 0.911 0.089
0.746 0.089 0.911
0.911 0.254 0.746
```

***

Entry 2:
A plane-wave DFT calculation with PBE was carried out for a relaxed Ho3Tm2Th4 crystal.

Summary:
The formation energy is 0.141 eV per atom. The total energy is -5.676 eV per atom. The calculation puts the mass density at 10.2 g cm⁻³. Its density of states at the Fermi level is 1.663 states/eV per atom. As for the space-group type: C2/c (15).

Geometry as POSCAR:
```
Ho3Tm2Th4
1.0
8.152 -5.183 0.000
8.152 5.183 0.000
-1.472 0.000 6.788
Ho Tm Th
6 4 8
direct
0.002 0.998 0.750
0.336 0.340 0.170
0.340 0.336 0.670
0.660 0.664 0.330
0.664 0.660 0.830
0.998 0.002 0.250
0.000 0.348 0.334
0.000 0.652 0.666
0.348 0.000 0.834
0.652 0.000 0.166
0.002 0.343 0.838
0.323 0.676 0.001
0.324 0.677 0.499
0.343 0.002 0.338
0.657 0.998 0.662
0.676 0.323 0.501
0.677 0.324 0.999
0.998 0.657 0.162
```

***

Entry 3:
A plane-wave DFT calculation with PBE was carried out for a relaxed VHI4 crystal.

Summary:
The total energy is -3.391 eV per atom. The calculation puts the mass density at 3.9 g cm⁻³. Its density of states at the Fermi level is 0.898 states/eV per atom. As for the space-group type: C2/c (15).

Geometry as POSCAR:
```
VHI4
1.0
3.316 -10.171 0.000
3.316 10.171 0.000
-0.228 0.000 7.073
V H I
2 2 8
direct
0.049 0.951 0.750
0.951 0.049 0.250
0.357 0.643 0.250
0.643 0.357 0.750
0.098 0.395 0.110
0.184 0.276 0.579
0.276 0.184 0.079
0.395 0.098 0.610
0.605 0.902 0.390
0.724 0.816 0.921
0.816 0.724 0.421
0.902 0.605 0.890
```

***

What is the density of states at the Fermi level in the first record? 0.853 states/eV per atom

***

What is the formula in the third record? VHI4

***

density of states at the Fermi level of number 2 (Ho3Tm2Th4)? 1.663 states/eV per atom

***

Look up the mass density of the second one. 10.2 g cm⁻³